# 1
A plane-wave DFT calculation with PBE was carried out for a geometry-optimized MgTaBeIr2 structure.

## Properties
Mass density in g/cm3: 12.2
Total moment in μB per cell: 0.0
Total energy in eV per atom: -5.764
Crystal system: tetragonal
Calculated formation energy in eV per atom: 1.215

Unit cell a=4.4482 b=4.1262 c=4.4482 alpha=90.00 beta=90.00 gamma=90.00
Last column: nearest neighbours and their distance in Å.
Fractional coordinates of all 5 atoms:
1 Be 0.0000 0.5000 0.0000  2 Mg 2.06
2 Mg 0.0000 0.0000 0.0000  2 Be 2.06, 4 Ir 2.22
3 Ir 0.0000 0.0000 0.5000  2 Mg 2.22
4 Ir 0.5000 0.0000 0.0000  2 Mg 2.22
5 Ta 0.5000 0.5000 0.5000  8 Ir 3.03, 4 Be 3.15


# 2
A plane-wave DFT calculation with PBE was carried out for a geometry-optimized Th2MgBe3Ir4 structure.

## Properties
Mass density in g/cm3: 12.7
Total moment in μB per cell: 0.0
Total energy in eV per atom: -6.977
Crystal system: tetragonal
Calculated formation energy in eV per atom: -0.671

Unit cell a=4.0697 b=4.0697 c=10.1422 alpha=90.00 beta=90.00 gamma=90.00
Last column: nearest neighbours and their distance in Å.
Fractional coordinates of all 10 atoms:
1 Th 0.5000 0.0000 0.2287  8 Ir 3.09-3.10, 7 Be 3.13-3.42, 2 Mg 3.42
2 Th 0.0000 0.5000 0.7713  8 Ir 3.09-3.10, 7 Be 3.13-3.42, 2 Mg 3.42
3 Mg 0.5000 0.5000 0.5000  4 Ir 2.59, 4 Be 2.88
4 Be 0.0000 0.0000 0.5000  4 Ir 2.59, 4 Mg 2.88
5 Be 0.5000 0.0000 0.8928  5 Ir 2.31-2.38
6 Be 0.0000 0.5000 0.1072  5 Ir 2.31-2.38
7 Ir 0.5000 0.5000 0.0000  4 Be 2.31
8 Ir 0.0000 0.0000 0.0000  4 Be 2.31
9 Ir 0.5000 0.0000 0.6580  3 Be 2.38-2.59, 2 Mg 2.59
10 Ir 0.0000 0.5000 0.3420  3 Be 2.38-2.59, 2 Mg 2.59


# 3
A plane-wave DFT calculation with PBE was carried out for a geometry-optimized MgTiBeIr structure.

## Properties
Mass density in g/cm3: 8.1
Total moment in μB per cell: 0.0
Total energy in eV per atom: -5.855
Crystal system: cubic
Calculated formation energy in eV per atom: -0.335

Unit cell a=4.3007 b=4.3007 c=4.3007 alpha=60.00 beta=60.00 gamma=60.00
Last column: nearest neighbours and their distance in Å.
Fractional coordinates of all 4 atoms:
1 Be 0.7500 0.7500 0.7500  4 Mg 2.63, 4 Ir 2.63
2 Mg 0.0000 0.0000 0.0000  4 Be 2.63, 4 Ti 2.63
3 Ir 0.5000 0.5000 0.5000  4 Be 2.63, 4 Ti 2.63
4 Ti 0.2500 0.2500 0.2500  4 Mg 2.63, 4 Ir 2.63


Q: Which value of mass density does entry 1 give?
A: 12.2 g/cm3


What did the third record say?
A plane-wave DFT calculation with PBE was carried out for a geometry-optimized MgTiBeIr structure.

## Properties
Mass density in g/cm3: 8.1
Total moment in μB per cell: 0.0
Total energy in eV per atom: -5.855
Crystal system: cubic
Calculated formation energy in eV per atom: -0.335

Unit cell a=4.3007 b=4.3007 c=4.3007 alpha=60.00 beta=60.00 gamma=60.00
Last column: nearest neighbours and their distance in Å.
Fractional coordinates of all 4 atoms:
1 Be 0.7500 0.7500 0.7500  4 Mg 2.63, 4 Ir 2.63
2 Mg 0.0000 0.0000 0.0000  4 Be 2.63, 4 Ti 2.63
3 Ir 0.5000 0.5000 0.5000  4 Be 2.63, 4 Ti 2.63
4 Ti 0.2500 0.2500 0.2500  4 Mg 2.63, 4 Ir 2.63


Q: Look up the calculated formation energy of the third one.
A: -0.335 eV per atom